First-principles (PBE-GGA) data for an optimized crystal structure of LiBeP2O, as listed in the Alexandria database.

Formation energy without anion corrections ... -1.35 eV per formula unit
Distance to the lowest polymorph of the same formula ... 0.000 eV per atom

Geometry as POSCAR:
```
LiBeP2O
1.0
-4.194 2.734 -0.572
-1.545 -1.412 4.584
1.309 2.244 1.132
O P Be Li
1 2 1 1
Cartesian
0.654 1.122 0.566 O
-2.097 1.367 -0.286 P
-0.772 -0.706 2.292 P
0.000 0.000 0.000 Be
-2.215 1.783 2.572 Li
```